Material: MnCd4Br
Method: DFT, PBE
State: relaxed

abc: 8.4090 8.4090 8.4090
angles: 90.00 90.00 90.00
Space group F-43m (No. 216)
One atom of each set of equivalent atoms:
Mn  0.0000  0.0000  0.0000 (multiplicity 4)
Cd  0.1259  0.1259  0.3741 (multiplicity 16)
Br  0.2500  0.2500  0.7500 (multiplicity 4)

Summary:
density of states at the Fermi level = 10.3 states/eV per cell
energy relative to the elements, uncorrected = 0.30 eV per atom
theoretical density = 6.53 g/cm³